<P>
8
Lattice="-5.1800 -0.4944 -0.3081 0.5656 -4.9288 -1.5997 -0.1396 -1.6231 4.9515" Properties=species:S:1:pos:R:3 comment="CrAs3, relaxed, DFT PBE-GGA" magmom_total_mub_per_cell=5.42 crystal_system=cubic pbc="T T T"
As 0.3544 -4.5081 1.2760
As -3.6022 -2.8352 -1.0309
As -2.6947 -1.4645 3.5596
As 0.0716 -2.0437 2.0758
As -1.0122 -2.5880 -0.8769
As -2.6249 -0.6530 1.0838
Cr 0.0000 0.0000 0.0000
Cr -2.3770 -3.5231 1.5219

<Q>
4
Lattice="-3.6760 2.3361 -1.7224 -4.2877 -1.8685 0.2483 -3.1856 1.8262 2.9076" Properties=species:S:1:pos:R:3 comment="CrAs3, relaxed, DFT PBE-GGA" magmom_total_mub_per_cell=3.73 crystal_system=cubic pbc="T T T"
As 0.0000 0.0000 0.0000
As -5.5746 1.1469 0.7167
As -2.7873 0.5735 0.3584
Cr -8.3619 1.7204 1.0751

Of them, the most stable is <P> and the least stable is <Q>.